Run A
Zn4Se5 PBE-GGA relaxed; SG = No. 139; magnetization = 0.000 μB per cell; theoretical density = 6.21 g cm⁻³
1.0
5.266 4.882 -1.589
-3.616 -4.486 4.571
3.602 -5.539 -3.231
Zn Se
4 5
Direct
0.654 0.000 0.654 Zn
0.346 0.000 0.346 Zn
0.000 0.346 0.346 Zn
0.000 0.654 0.654 Zn
0.000 0.000 0.000 Se
0.678 0.322 0.000 Se
0.322 0.678 0.000 Se
0.322 0.322 0.645 Se
0.678 0.678 0.355 Se

***

Run B
Zn4Se5 PBE-GGA relaxed; SG = No. 193; magnetization = 0.000 μB per cell; theoretical density = 5.99 g cm⁻³
1.0
7.492 0.000 0.000
-3.746 6.488 0.000
0.000 0.000 7.487
Zn Se
8 10
Direct
0.000 0.000 0.000 Zn
0.000 0.000 0.500 Zn
0.000 0.416 0.250 Zn
0.584 0.584 0.250 Zn
0.416 0.000 0.250 Zn
0.000 0.584 0.750 Zn
0.416 0.416 0.750 Zn
0.584 0.000 0.750 Zn
0.000 0.749 0.250 Se
0.251 0.251 0.250 Se
0.749 0.000 0.250 Se
0.000 0.251 0.750 Se
0.749 0.749 0.750 Se
0.251 0.000 0.750 Se
0.667 0.333 0.000 Se
0.333 0.667 0.500 Se
0.333 0.667 0.000 Se
0.667 0.333 0.500 Se

***

run B wins, 305 meV per atom ahead of the next structure.